Material: Ce6Hg2Rh
Method: DFT, GGA-PBE
State: relaxed

## Properties
volume: 234 Å³/f.u.

a b c (Å): 6.128 7.602 11.489
angles (deg): 90.00 119.13 90.00
Space group P2_1/c (No. 14)
One atom of each set of equivalent atoms:
Ce: 0.072 0.086 0.231 x4
Ce: 0.092 0.748 0.018 x4
Ce: 0.372 0.170 0.009 x4
Hg: 0.402 0.067 0.732 x4
Rh: 0.500 0.000 0.500 x2

---

Material: Ce2HgRh3
Method: DFT, GGA-PBE
State: relaxed

## Properties
volume: 123 Å³/f.u.

a b c (Å): 11.685 5.736 8.262
angles (deg): 90.00 117.53 90.00
Space group C2/c (No. 15)
One atom of each set of equivalent atoms:
Ce: 0.183 0.028 0.096 x8
Hg: 0.000 0.282 0.250 x4
Rh: 0.000 0.206 0.750 x4
Rh: 0.135 0.485 0.590 x8

---

Material: Ce11Hg9Rh4
Method: DFT, GGA-PBE
State: relaxed

## Properties
volume: 595 Å³/f.u.

a b c (Å): 14.933 21.561 3.694
angles (deg): 90.00 90.00 90.00
Space group Cmmm (No. 65)
One atom of each set of equivalent atoms:
Ce: 0.000 0.000 0.000 x2
Ce: 0.000 0.153 0.000 x4
Ce: 0.000 0.371 0.000 x4
Ce: 0.189 0.500 0.000 x4
Ce: 0.249 0.177 0.000 x8
Hg: 0.000 0.500 0.500 x2
Hg: 0.101 0.259 0.500 x8
Hg: 0.149 0.073 0.500 x8
Rh: 0.150 0.399 0.500 x8

---

Material: Ce2HgRh
Method: DFT, GGA-PBE
State: relaxed

## Properties
volume: 97 Å³/f.u.
E above lowest polymorph: 0.457 eV per formula unit

a b c (Å): 7.298 7.298 7.298
angles (deg): 90.00 90.00 90.00
Space group Fm-3m (No. 225)
One atom of each set of equivalent atoms:
Ce: 0.250 0.250 0.250 x8
Hg: 0.000 0.000 0.000 x4
Rh: 0.000 0.000 0.500 x4

---

no.,energy relative to the elements (eV per formula unit)
1,-1.8
2,-3.3
3,-12.0
4,-1.5